Material: BiIrPt2
Method: DFT, PBE
State: optimized geometry

POSCAR file:
```
BiIrPt2
1.0
0.000 3.290 3.290
3.290 0.000 3.290
3.290 3.290 0.000
Bi Ir Pt
1 1 2
Cartesian
3.290 3.290 3.290
1.645 1.645 1.645
0.000 0.000 0.000
4.934 4.934 4.934
```

## Properties
Crystal system ... cubic
Final energy ... -5.996 eV/atom



Material: Bi2IrPt
Method: DFT, PBE
State: optimized geometry

POSCAR file:
```
Bi2IrPt
1.0
0.000 3.497 3.497
3.497 0.000 3.497
3.497 3.497 0.000
Bi Ir Pt
2 1 1
Cartesian
0.000 0.000 0.000
1.748 1.748 1.748
3.497 3.497 3.497
5.245 5.245 5.245
```

## Properties
Crystal system ... cubic
Final energy ... -5.162 eV/atom



Material: BiIr2Pt
Method: DFT, PBE
State: optimized geometry

POSCAR file:
```
BiIr2Pt
1.0
3.538 -2.780 1.116
2.367 0.720 3.921
-0.412 -2.971 3.536
Bi Ir Pt
1 2 1
Cartesian
2.747 -2.515 4.286
0.000 0.000 0.000
4.120 -3.773 6.429
1.373 -1.258 2.143
```

## Properties
Crystal system ... cubic
Final energy ... -6.452 eV/atom



Material: RbBi5Ir3
Method: DFT, PBE
State: optimized geometry

POSCAR file:
```
RbBi5Ir3
1.0
5.903 0.000 0.000
-2.952 5.112 0.000
0.000 0.000 8.967
Bi Ir Rb
5 3 1
Cartesian
2.952 1.704 2.270
0.000 3.408 2.270
0.000 0.000 4.484
2.952 1.704 6.697
0.000 3.408 6.697
2.952 0.000 4.484
-1.476 2.556 4.484
1.476 2.556 4.484
0.000 0.000 0.000
```

## Properties
Crystal system ... hexagonal
Final energy ... -5.290 eV/atom



Material: ReBiIr
Method: DFT, PBE
State: optimized geometry

POSCAR file:
```
ReBiIr
1.0
0.000 3.149 3.149
3.149 0.000 3.149
3.149 3.149 0.000
Bi Ir Re
1 1 1
Cartesian
1.574 1.574 1.574
4.723 4.723 4.723
0.000 0.000 0.000
```

## Properties
Crystal system ... cubic
Final energy ... -7.643 eV/atom



Material: Zr2BiSbIr2
Method: DFT, PBE
State: optimized geometry

POSCAR file:
```
Zr2BiSbIr2
1.0
-1.232 -10.420 3.702
4.511 -0.485 0.135
0.492 6.984 8.659
Bi Ir Sb Zr
4 8 4 8
Cartesian
-0.895 -6.510 6.476
-0.462 -2.140 7.726
2.624 4.995 6.577
-0.032 2.208 8.973
2.257 -0.211 0.127
-0.397 -2.992 2.496
1.458 -6.291 4.948
0.025 1.268 3.716
1.888 -1.946 6.193
-0.771 -4.751 8.643
2.312 2.340 7.446
-0.344 -0.422 9.952
1.331 -8.055 2.853
-0.092 -0.426 1.551
1.763 -3.700 4.076
2.192 0.633 5.312
1.949 -2.824 1.022
-0.707 -5.627 3.392
2.376 1.485 2.235
-0.277 -1.286 4.618
1.579 -4.560 7.144
0.150 3.027 5.858
2.007 -0.223 8.415
-0.647 -2.989 10.854
```

## Properties
Crystal system ... monoclinic
Final energy ... -7.962 eV/atom



Material: ScBiIr2
Method: DFT, PBE
State: optimized geometry

POSCAR file:
```
ScBiIr2
1.0
0.523 -4.665 0.321
-2.132 -2.374 3.458
-3.616 -2.846 -0.981
Bi Ir Sc
1 2 1
Cartesian
-2.612 -4.942 1.399
0.000 0.000 0.000
-3.918 -7.413 2.098
-1.306 -2.471 0.699
```

## Properties
Crystal system ... cubic
Final energy ... -6.988 eV/atom



Material: Sc2BiIr
Method: DFT, PBE
State: optimized geometry

POSCAR file:
```
Sc2BiIr
1.0
-1.189 -3.181 -3.451
-4.254 0.380 -2.281
-0.146 1.397 -4.633
Bi Ir Sc
1 1 2
Cartesian
-2.794 -0.702 -5.183
-1.397 -0.351 -2.591
0.000 0.000 0.000
-4.191 -1.053 -7.774
```

## Properties
Crystal system ... cubic
Final energy ... -6.627 eV/atom



Material: Sc2BiIr
Method: DFT, PBE
State: optimized geometry

POSCAR file:
```
Sc2BiIr
1.0
4.502 -3.249 0.000
4.502 3.249 0.000
0.000 0.000 5.942
Bi Ir Sc
2 2 4
Cartesian
4.502 0.945 1.486
4.502 -0.945 4.457
0.000 0.000 0.000
0.000 0.000 2.971
2.876 -1.593 1.486
6.128 -1.593 1.486
2.876 1.593 4.457
6.128 1.593 4.457
```

## Properties
Crystal system ... orthorhombic
Final energy ... -6.928 eV/atom



Material: ScBi2Ir
Method: DFT, PBE
State: optimized geometry

POSCAR file:
```
ScBi2Ir
1.0
4.620 1.899 0.865
0.890 2.683 4.208
2.892 -1.945 3.681
Bi Ir Sc
2 1 1
Cartesian
0.000 0.000 0.000
6.301 1.978 6.566
2.100 0.659 2.189
4.201 1.318 4.377
```

## Properties
Crystal system ... cubic
Final energy ... -5.743 eV/atom



Material: SiBi2Ir
Method: DFT, PBE
State: optimized geometry

POSCAR file:
```
SiBi2Ir
1.0
1.008 -4.846 -0.643
-3.082 -3.458 1.861
-2.814 -2.748 -3.073
Bi Ir Si
2 1 1
Cartesian
0.000 0.000 0.000
-1.222 -2.763 -0.464
-2.444 -5.526 -0.928
-3.666 -8.290 -1.391
```

## Properties
Crystal system ... cubic
Final energy ... -4.907 eV/atom



Material: SnBi2Ir
Method: DFT, PBE
State: optimized geometry

POSCAR file:
```
SnBi2Ir
1.0
0.000 3.638 3.638
3.638 0.000 3.638
3.638 3.638 0.000
Bi Ir Sn
2 1 1
Cartesian
0.000 0.000 0.000
1.819 1.819 1.819
3.638 3.638 3.638
5.457 5.457 5.457
```

## Properties
Crystal system ... cubic
Final energy ... -4.760 eV/atom



Material: Sn3BiIr2
Method: DFT, PBE
State: optimized geometry

POSCAR file:
```
Sn3BiIr2
1.0
4.002 0.000 0.000
-2.001 3.466 0.000
0.000 0.000 10.157
Bi Ir Sn
1 2 3
Cartesian
0.000 0.000 5.078
2.001 1.155 1.377
0.000 2.311 8.780
0.000 0.000 0.000
0.000 2.311 2.797
2.001 1.155 7.360
```

## Properties
Crystal system ... trigonal
Final energy ... -5.525 eV/atom



Material: TaBiIr2
Method: DFT, PBE
State: optimized geometry

POSCAR file:
```
TaBiIr2
1.0
2.975 -3.086 -1.817
0.936 -3.951 2.278
-1.574 -4.063 -1.641
Bi Ir Ta
1 2 1
Cartesian
1.168 -5.550 -0.590
0.000 0.000 0.000
1.752 -8.325 -0.885
0.584 -2.775 -0.295
```

## Properties
Crystal system ... cubic
Final energy ... -8.025 eV/atom



Material: YTaBi2Ir2
Method: DFT, PBE
State: optimized geometry

POSCAR file:
```
YTaBi2Ir2
1.0
6.506 0.000 0.000
0.000 4.612 0.000
0.000 0.000 9.209
Bi Ir Ta Y
4 4 2 2
Cartesian
6.361 2.306 1.193
3.370 0.000 3.465
0.117 2.306 5.744
3.108 0.000 8.016
4.730 0.000 0.990
1.802 2.306 3.226
5.055 0.000 5.983
1.477 2.306 8.218
3.177 2.306 1.093
6.430 0.000 8.116
0.078 0.000 3.441
3.331 2.306 5.768
```

## Properties
Crystal system ... orthorhombic
Final energy ... -7.822 eV/atom



Material: Tc3Bi2Ir3
Method: DFT, PBE
State: optimized geometry

POSCAR file:
```
Tc3Bi2Ir3
1.0
-3.443 -1.015 0.428
-0.248 -0.653 -3.546
3.975 -12.620 2.046
Bi Ir Tc
2 3 3
Cartesian
0.545 -2.450 -1.429
1.585 -11.004 1.915
0.000 0.000 0.000
-1.845 -0.834 -1.559
0.142 -7.144 -0.536
1.310 -4.158 0.674
1.987 -6.310 1.023
2.665 -8.462 1.372
```

## Properties
Crystal system ... tetragonal
Final energy ... -7.013 eV/atom



Material: TcBi2Ir
Method: DFT, PBE
State: optimized geometry

POSCAR file:
```
TcBi2Ir
1.0
0.000 3.462 3.462
3.462 0.000 3.462
3.462 3.462 0.000
Bi Ir Tc
2 1 1
Cartesian
0.000 0.000 0.000
5.193 5.193 5.193
3.462 3.462 3.462
1.731 1.731 1.731
```

## Properties
Crystal system ... cubic
Final energy ... -5.910 eV/atom



Material: TcBiIr
Method: DFT, PBE
State: optimized geometry

POSCAR file:
```
TcBiIr
1.0
-3.540 0.587 2.610
-2.659 3.498 -0.621
-4.084 -0.580 -1.636
Bi Ir Tc
1 1 1
Cartesian
-2.571 0.876 0.088
-7.712 2.629 0.264
0.000 0.000 0.000
```

## Properties
Crystal system ... cubic
Final energy ... -7.178 eV/atom



Material: Tc2BiIr
Method: DFT, PBE
State: optimized geometry

POSCAR file:
```
Tc2BiIr
1.0
-2.645 -3.291 1.827
-4.445 0.828 0.848
-3.245 -2.025 -2.555
Bi Ir Tc
1 1 2
Cartesian
-5.167 -2.244 0.060
-2.584 -1.122 0.030
0.000 0.000 0.000
-7.751 -3.366 0.090
```

## Properties
Crystal system ... cubic
Final energy ... -7.729 eV/atom



Material: BiTeIr
Method: DFT, PBE
State: optimized geometry

POSCAR file:
```
BiTeIr
1.0
2.748 -3.619 -1.295
-1.891 -3.738 -2.186
0.898 -0.765 -4.576
Bi Ir Te
1 1 1
Cartesian
0.439 -2.031 -2.014
0.000 0.000 0.000
1.316 -6.092 -6.043
```

## Properties
Crystal system ... cubic
Final energy ... -5.369 eV/atom